Entry 1:
The following is a PBE calculation of an optimized crystal structure of CaCd2Pb, from Alexandria.

CIF file:
```
data_CaCd2Pb
_chemical_formula_sum 'Ca1 Cd2 Pb1'
_cell_length_a 3.417
_cell_length_b 5.436
_cell_length_c 5.986
_cell_angle_alpha 90.00
_cell_angle_beta 90.05
_cell_angle_gamma 90.00
_symmetry_space_group_name_H-M 'P 1 2/m 1'
_symmetry_Int_Tables_number 10
_symmetry_space_group_name_Hall '-P 2y'
loop_
_atom_site_label
_atom_site_type_symbol
_atom_site_fract_x
_atom_site_fract_y
_atom_site_fract_z
Ca1 Ca 0.000 0.000 0.000
Cd1 Cd 0.498 0.500 0.239
Pb1 Pb 0.500 0.000 0.500
```

## Properties
Total energy   -2.106 eV per atom
ρ   7.05 g/cm3


Entry 2:
The following is a PBE calculation of an optimized crystal structure of TbHoSnTe, from Alexandria.

CIF file:
```
data_TbHoSnTe
_chemical_formula_sum 'Tb3 Ho3 Sn3 Te3'
_cell_length_a 4.3863
_cell_length_b 4.3863
_cell_length_c 21.6291
_cell_angle_alpha 90.00
_cell_angle_beta 90.00
_cell_angle_gamma 120.00
_symmetry_space_group_name_H-M 'R 3 m'
_symmetry_Int_Tables_number 160
_symmetry_space_group_name_Hall 'R 3 -2"'
loop_
_atom_site_label
_atom_site_type_symbol
_atom_site_fract_x
_atom_site_fract_y
_atom_site_fract_z
Tb1 Tb 0.0000 0.0000 0.0000
Ho1 Ho 0.0000 0.0000 0.4913
Sn1 Sn 0.0000 0.0000 0.7464
Te1 Te 0.0000 0.0000 0.2448
```

## Properties
Energy relative to the elements, uncorrected   -1.039 eV/atom
Total energy   -5.127 eV per atom
ρ   7.88 g/cm3


Entry 3:
The following is a PBE calculation of an optimized crystal structure of ZrTlNi2, from Alexandria.

CIF file:
```
data_ZrTlNi2
_chemical_formula_sum 'Zr4 Tl4 Ni8'
_cell_length_a 7.116
_cell_length_b 7.116
_cell_length_c 5.791
_cell_angle_alpha 90.00
_cell_angle_beta 90.00
_cell_angle_gamma 90.00
_symmetry_space_group_name_H-M 'I -4 2 d'
_symmetry_Int_Tables_number 122
_symmetry_space_group_name_Hall 'I -4 2bw'
loop_
_atom_site_label
_atom_site_type_symbol
_atom_site_fract_x
_atom_site_fract_y
_atom_site_fract_z
Zr1 Zr 0.000 0.000 0.000
Tl1 Tl 0.000 0.000 0.500
Ni1 Ni 0.238 0.750 0.125
```

## Properties
Total energy   -5.336 eV per atom
ρ   9.36 g/cm3


Entry 4:
The following is a PBE calculation of an optimized crystal structure of TbGa4Cu4, from Alexandria.

CIF file:
```
data_TbGa4Cu4
_chemical_formula_sum 'Tb2 Ga8 Cu8'
_cell_length_a 8.172
_cell_length_b 8.172
_cell_length_c 4.449
_cell_angle_alpha 90.00
_cell_angle_beta 90.00
_cell_angle_gamma 90.00
_symmetry_space_group_name_H-M 'I 4/m'
_symmetry_Int_Tables_number 87
_symmetry_space_group_name_Hall '-I 4'
loop_
_atom_site_label
_atom_site_type_symbol
_atom_site_fract_x
_atom_site_fract_y
_atom_site_fract_z
Tb1 Tb 0.000 0.000 0.000
Ga1 Ga 0.098 0.367 0.000
Cu1 Cu 0.112 0.211 0.500
```

## Properties
Total energy   -3.845 eV per atom
ρ   7.73 g/cm3


Entry 5:
The following is a PBE calculation of an optimized crystal structure of Ac6Ru3Pb, from Alexandria.

CIF file:
```
data_Ac6Ru3Pb
_chemical_formula_sum 'Ac12 Ru6 Pb2'
_cell_length_a 12.529
_cell_length_b 4.372
_cell_length_c 12.911
_cell_angle_alpha 90.00
_cell_angle_beta 107.96
_cell_angle_gamma 90.00
_symmetry_space_group_name_H-M 'P 1 21/m 1'
_symmetry_Int_Tables_number 11
_symmetry_space_group_name_Hall '-P 2yb'
loop_
_atom_site_label
_atom_site_type_symbol
_atom_site_fract_x
_atom_site_fract_y
_atom_site_fract_z
Ac1 Ac 0.026 0.250 0.389
Ac2 Ac 0.113 0.250 0.949
Ac3 Ac 0.200 0.750 0.254
Ac4 Ac 0.285 0.750 0.762
Ac5 Ac 0.351 0.250 0.529
Ac6 Ac 0.424 0.750 0.083
Ru1 Ru 0.037 0.250 0.167
Ru2 Ru 0.181 0.750 0.502
Ru3 Ru 0.337 0.250 0.910
Pb1 Pb 0.446 0.250 0.301
```

## Properties
Total energy   -5.815 eV per atom
ρ   9.24 g/cm3


Entry 6:
The following is a PBE calculation of an optimized crystal structure of PaCoSi2Rh, from Alexandria.

CIF file:
```
data_PaCoSi2Rh
_chemical_formula_sum 'Pa2 Co2 Si4 Rh2'
_cell_length_a 3.971
_cell_length_b 3.971
_cell_length_c 9.905
_cell_angle_alpha 90.00
_cell_angle_beta 90.00
_cell_angle_gamma 90.00
_symmetry_space_group_name_H-M 'I -4 m 2'
_symmetry_Int_Tables_number 119
_symmetry_space_group_name_Hall 'I -4 -2'
loop_
_atom_site_label
_atom_site_type_symbol
_atom_site_fract_x
_atom_site_fract_y
_atom_site_fract_z
Pa1 Pa 0.000 0.000 0.000
Co1 Co 0.000 0.500 0.250
Si1 Si 0.000 0.000 0.380
Rh1 Rh 0.000 0.500 0.750
```

## Properties
Energy relative to the elements, uncorrected   -0.852 eV/atom
Total energy   -7.812 eV per atom
ρ   9.55 g/cm3


Q: Among the records above, which one has the highest ρ?
A: PaCoSi2Rh